1.
A relaxed Ba2CaP2N6 crystal, computed with GGA-PBE.

final energy: -6.66 eV per atom
SG: No. 166
crystal system: trigonal

abc: 7.1223 7.1223 7.1223
angles: 49.29 49.29 49.29
With the nearest neighbours (Å) after each atom.
Fractional positions:
Ba: 0.2098 0.2098 0.2098  9 N 2.98-3.06
Ba: 0.7902 0.7902 0.7902  9 N 2.98-3.06
Ca: 0.0000 0.0000 0.0000  6 N 2.44
P: 0.4176 0.4176 0.4176  3 N 1.58
P: 0.5824 0.5824 0.5824  3 N 1.58
N: 0.2652 0.2652 0.7245  1 P 1.58
N: 0.2652 0.7245 0.2652  1 P 1.58
N: 0.2755 0.7348 0.7348  1 P 1.58
N: 0.7245 0.2652 0.2652  1 P 1.58
N: 0.7348 0.2755 0.7348  1 P 1.58
N: 0.7348 0.7348 0.2755  1 P 1.58


2.
A relaxed Ba3CaPa2N6 crystal, computed with GGA-PBE.

final energy: -7.51 eV per atom
SG: No. 12
crystal system: monoclinic

abc: 8.4621 8.4621 7.6406
angles: 106.27 106.27 25.38
With the nearest neighbours (Å) after each atom.
Fractional positions:
Ba: 0.0000 0.0000 0.0000  6 N 2.81-2.99
Ba: 0.3409 0.3409 0.6662  6 N 2.76-3.03
Ba: 0.6591 0.6591 0.3338  6 N 2.76-3.03
Ca: 0.0000 0.0000 0.5000  6 N 2.61-2.68
Pa: 0.3326 0.3326 0.1733  4 N 2.17-2.41
Pa: 0.6674 0.6674 0.8267  4 N 2.17-2.41
N: 0.1692 0.1692 0.6266  2 Pa 2.41, 1 Ca 2.68
N: 0.1856 0.1856 0.0417  3 Pa 2.34-2.44
N: 0.4699 0.4699 0.2501  1 Pa 2.17
N: 0.5301 0.5301 0.7499  1 Pa 2.17
N: 0.8144 0.8144 0.9583  3 Pa 2.34-2.44
N: 0.8308 0.8308 0.3734  2 Pa 2.41, 1 Ca 2.68


3.
A relaxed BaCaPaN3 crystal, computed with GGA-PBE.

final energy: -7.47 eV per atom
SG: No. 11
crystal system: monoclinic

abc: 7.3991 3.7649 9.5590
angles: 90.00 99.17 90.00
With the nearest neighbours (Å) after each atom.
Fractional positions:
Ba: 0.0945 0.2500 0.3382  5 N 2.83-2.96
Ba: 0.9055 0.7500 0.6618  5 N 2.83-2.96
Ca: 0.3269 0.2500 0.9248  3 N 2.29-2.38
Ca: 0.6731 0.7500 0.0752  3 N 2.29-2.38
Pa: 0.4086 0.7500 0.6347  2 N 2.10-2.17
Pa: 0.5914 0.2500 0.3653  2 N 2.10-2.17
N: 0.2077 0.2500 0.6366  2 Pa 2.40
N: 0.3808 0.7500 0.4055  1 Pa 2.17
N: 0.4663 0.7500 0.8568  1 Pa 2.10, 2 Ca 2.29
N: 0.5337 0.2500 0.1432  1 Pa 2.10, 2 Ca 2.29
N: 0.6192 0.2500 0.5945  1 Pa 2.17
N: 0.7923 0.7500 0.3634  2 Pa 2.40


- Which value of final energy does entry 2 give?
  -7.51 eV per atom